! GGA-PBE Rh3C4, optimized geometry; values from VASP
&SYSTEM
  ibrav = 0, nat = 7, ntyp = 2
/
ATOMIC_SPECIES
Rh 102.91 Rh.upf
C 12.01 C.upf
CELL_PARAMETERS angstrom
4.560 0.000 0.000
0.000 4.560 0.000
0.000 0.000 4.560
ATOMIC_POSITIONS crystal
Rh 0.000 0.000 0.500
Rh 0.000 0.500 0.000
Rh 0.500 0.000 0.000
C 0.242 0.242 0.242
C 0.242 0.758 0.758
C 0.758 0.242 0.758
C 0.758 0.758 0.242
! energy relative to the elements	8.11	eV per formula unit
! total magnetic moment	0.0	μB/cell
! space-group type	P-43m